Compound: Y2MnAsOs
Source: the Alexandria database
Functional: PBE
Structure: optimized geometry

Properties
As for the electronic total energy: -36.662 eV/f.u. The energy relative to the elements is 262.9 meV/atom.

Structure (CIF):
```
data_Y2MnAsOs
_chemical_formula_sum 'Y2 Mn1 As1 Os1'
_cell_length_a 5.162
_cell_length_b 5.162
_cell_length_c 4.336
_cell_angle_alpha 90.00
_cell_angle_beta 90.00
_cell_angle_gamma 90.00
_space_group_name_H-M_alt 'P 4/m m m'
_space_group_IT_number 123
_space_group_name_Hall '-P 4 2'
loop_
_atom_site_label
_atom_site_fract_x
_atom_site_fract_y
_atom_site_fract_z
Y1 0.000 0.500 0.000
Mn1 0.000 0.000 0.000
As1 0.500 0.500 0.500
Os1 0.000 0.000 0.500
```


Compound: MnZnAsOs2
Source: the Alexandria database
Functional: PBE
Structure: optimized geometry

Properties
As for the electronic total energy: -30.845 eV/f.u. The energy relative to the elements is 1341.5 meV/atom.

Structure (CIF):
```
data_MnZnAsOs2
_chemical_formula_sum 'Mn1 Zn1 As1 Os2'
_cell_length_a 4.441
_cell_length_b 4.441
_cell_length_c 4.462
_cell_angle_alpha 90.00
_cell_angle_beta 90.00
_cell_angle_gamma 90.00
_space_group_name_H-M_alt 'P 4/m m m'
_space_group_IT_number 123
_space_group_name_Hall '-P 4 2'
loop_
_atom_site_label
_atom_site_fract_x
_atom_site_fract_y
_atom_site_fract_z
Mn1 0.000 0.000 0.000
Zn1 0.000 0.000 0.500
As1 0.500 0.500 0.500
Os1 0.000 0.500 0.000
```